No. 1
First-principles (PBEsol) data for a geometry-optimized InSeBr2N structure, as listed in Alexandria.

Final energy = -0.1054 Ha/atom
ΔE_f (raw) = 0.951 eV/atom
Fermi-level density of states = 3.57 states/eV per cell
Total moment = 4.12 μB per cell

a b c (Å): 5.4292 5.4292 5.2633
angles (deg): 90.00 90.00 90.00
Closest atoms and distances in Å follow each position.
Space group P4/mmm (No. 123)
One atom of each set of equivalent atoms:
In (0.0000, 0.0000, 0.0000) (multiplicity 1)  2 Se 2.63, 4 Br 2.71
Se (0.0000, 0.0000, 0.5000) (multiplicity 1)  2 In 2.63
Br (0.0000, 0.5000, 0.0000) (multiplicity 2)  2 In 2.71
N (0.5000, 0.5000, 0.5000) (multiplicity 1)  8 Br 3.78, 4 Se 3.84

***

No. 2
First-principles (PBEsol) data for a geometry-optimized Rb2NaInBr6 structure, as listed in Alexandria.

Final energy = -0.1138 Ha/atom
ΔE_f (raw) = -1.332 eV/atom
Fermi-level density of states = 0.00 states/eV per cell
Total moment = 0.01 μB per cell

a b c (Å): 10.9894 10.9894 10.9894
angles (deg): 90.00 90.00 90.00
Closest atoms and distances in Å follow each position.
Space group Fm-3m (No. 225)
One atom of each set of equivalent atoms:
Rb (0.2500, 0.2500, 0.2500) (multiplicity 8)  12 Br 3.89
Na (0.0000, 0.0000, 0.0000) (multiplicity 4)  6 Br 2.84
In (0.0000, 0.0000, 0.5000) (multiplicity 4)  6 Br 2.66
Br (0.0000, 0.0000, 0.2580) (multiplicity 24)  1 In 2.66, 1 Na 2.84

***

No. 3
First-principles (PBEsol) data for a geometry-optimized NaInTcBr2 structure, as listed in Alexandria.

Final energy = -0.1064 Ha/atom
ΔE_f (raw) = 0.982 eV/atom
Fermi-level density of states = 4.25 states/eV per cell
Total moment = 5.03 μB per cell

a b c (Å): 5.6629 5.6629 5.8838
angles (deg): 90.00 90.00 90.00
Closest atoms and distances in Å follow each position.
Space group P4/mmm (No. 123)
One atom of each set of equivalent atoms:
Na (0.0000, 0.0000, 0.0000) (multiplicity 1)  2 In 2.94
In (0.0000, 0.0000, 0.5000) (multiplicity 1)  4 Br 2.83, 2 Na 2.94
Tc (0.5000, 0.5000, 0.0000) (multiplicity 1)  4 Na 4.00, 8 Br 4.08
Br (0.0000, 0.5000, 0.5000) (multiplicity 2)  2 In 2.83

***

No. 4
First-principles (PBEsol) data for a geometry-optimized NbInSeBr2 structure, as listed in Alexandria.

Final energy = -0.1712 Ha/atom
ΔE_f (raw) = -0.380 eV/atom
Fermi-level density of states = 2.83 states/eV per cell
Total moment = 0.00 μB per cell

a b c (Å): 5.2045 5.2045 4.9904
angles (deg): 90.00 90.00 90.00
Closest atoms and distances in Å follow each position.
Space group P4/mmm (No. 123)
One atom of each set of equivalent atoms:
Nb (0.0000, 0.0000, 0.0000) (multiplicity 1)  2 Se 2.50, 4 Br 2.60
In (0.5000, 0.5000, 0.5000) (multiplicity 1)  8 Br 3.61, 4 Se 3.68
Se (0.0000, 0.0000, 0.5000) (multiplicity 1)  2 Nb 2.50
Br (0.0000, 0.5000, 0.0000) (multiplicity 2)  2 Nb 2.60

***

Q: Which value of ΔE_f (raw) does entry 4 give?
A: -0.380 eV/atom

***

Q: Number 1 is which compound?
A: InSeBr2N

***

Q: Which value of final energy does entry 3 give?
A: -0.1064 Ha/atom

***

Q: Which of these has the lowest ΔE_f (raw)?
A: Rb2NaInBr6